{
  "formula": "NaGdHo2",
  "functional": "PBE",
  "state": "optimized geometry",
  "lattice": [[3.484, 0.000, 0.000], [1.742, 3.018, 0.000], [1.742, 1.006, 12.665]],
  "species": ["Na", "Gd", "Ho", "Ho"],
  "frac_coords": [[0.000, 0.000, 0.000], [0.500, 0.500, 0.500], [0.908, 0.908, 0.275], [0.092, 0.092, 0.725]]
}


{
  "formula": "NaGdHo2",
  "functional": "PBE",
  "state": "optimized geometry",
  "lattice": [[3.518, 0.000, 0.000], [0.000, 3.518, 0.000], [0.000, 0.000, 10.528]],
  "species": ["Ho", "Ho", "Gd", "Na"],
  "frac_coords": [[0.000, 0.000, 0.231], [0.000, 0.000, 0.769], [0.500, 0.500, 0.000], [0.500, 0.500, 0.500]]
}


{
  "formula": "NaGdHoSn",
  "functional": "PBE",
  "state": "optimized geometry",
  "lattice": [[5.354, 0.000, 0.000], [2.677, 4.637, 0.000], [2.677, 1.546, 4.372]],
  "species": ["Na", "Sn", "Ho", "Gd"],
  "frac_coords": [[0.750, 0.750, 0.750], [0.250, 0.250, 0.250], [0.500, 0.500, 0.500], [0.000, 0.000, 0.000]]
}


{
  "formula": "NaGdHoTl",
  "functional": "PBE",
  "state": "optimized geometry",
  "lattice": [[-1.608, -2.610, -4.461], [-2.713, -4.665, 0.423], [-5.257, -0.198, -1.273]],
  "species": ["Tl", "Na", "Gd", "Ho"],
  "frac_coords": [[0.500, 0.500, 0.500], [0.000, 0.000, 0.000], [0.750, 0.750, 0.750], [0.250, 0.250, 0.250]]
}


{
  "formula": "NdGdHo2",
  "functional": "PBE",
  "state": "optimized geometry",
  "lattice": [[-2.890, -1.689, 1.275], [-1.991, -2.033, -2.175], [4.937, -10.485, 2.333]],
  "species": ["Ho", "Ho", "Gd", "Nd"],
  "frac_coords": [[0.249, 0.249, 0.252], [0.751, 0.751, 0.748], [0.500, 0.500, 0.500], [0.000, 0.000, 0.000]]
}


{
  "formula": "NdGdHo2",
  "functional": "PBE",
  "state": "optimized geometry",
  "lattice": [[-0.768, -0.555, -3.460], [-1.546, -3.125, 0.845], [-8.826, 4.693, 1.207]],
  "species": ["Nd", "Ho", "Ho", "Gd"],
  "frac_coords": [[0.500, 0.500, 0.000], [0.000, 0.000, 0.252], [0.000, 0.000, 0.748], [0.500, 0.500, 0.500]]
}


| no. | formation enthalpy at 0 K (eV/atom) | raw total energy (eV/f.u.) |
| --- | --- | --- |
| 1 | 0.180 | -23.83 |
| 2 | 0.150 | -23.95 |
| 3 | -0.267 | -25.05 |
| 4 | -0.063 | -22.60 |
| 5 | 0.022 | -27.92 |
| 6 | 0.026 | -27.90 |